Entry 1:
# NbV4Fe5

A geometry-optimized NbV4Fe5 structure (PBE-GGA, the Alexandria database).

Cell and atoms, written as POSCAR:
```
NbV4Fe5
1.0
2.838 0.000 0.000
0.000 2.838 0.000
0.000 0.000 15.276
Nb V Fe
1 4 5
Direct
0.000 0.000 0.000
0.000 0.000 0.211
0.000 0.000 0.404
0.000 0.000 0.596
0.000 0.000 0.789
0.500 0.500 0.128
0.500 0.500 0.309
0.500 0.500 0.500
0.500 0.500 0.691
0.500 0.500 0.872
```

Values from the calculation:
Energy of formation from the pure elements   -0.1277 eV/atom
ρ   7771 kg/m³
Electronic total energy   -9.01 eV per atom
Spin magnetization   0.151 μB per atom
Volume   123.1 Å³ per cell

Entry 2:
# AcPaAs2

A geometry-optimized AcPaAs2 structure (PBE-GGA, the Alexandria database).

Cell and atoms, written as POSCAR:
```
AcPaAs2
1.0
0.000 3.688 3.688
3.688 0.000 3.688
3.688 3.688 0.000
Ac Pa As
1 1 2
Direct
0.000 0.000 0.000
0.500 0.500 0.500
0.250 0.250 0.250
0.750 0.750 0.750
```

Values from the calculation:
Polymorph energy (0 for the lowest one)   0.389 eV/atom
Energy of formation from the pure elements   -0.8333 eV/atom
ρ   10058 kg/m³
Electronic total energy   -6.56 eV per atom
Spin magnetization   0.336 μB per atom
Volume   100.4 Å³ per cell

Entry 3:
# ScTiAu6

A geometry-optimized ScTiAu6 structure (PBE-GGA, the Alexandria database).

Cell and atoms, written as POSCAR:
```
ScTiAu6
1.0
4.481 -2.140 0.000
4.481 2.140 0.000
-4.014 0.000 7.490
Sc Ti Au
1 1 6
Direct
0.000 0.000 0.000
0.000 0.000 0.500
0.249 0.249 0.380
0.250 0.250 0.869
0.496 0.496 0.252
0.504 0.504 0.748
0.750 0.750 0.131
0.751 0.751 0.620
```

Values from the calculation:
Energy of formation from the pure elements   -0.4356 eV/atom
ρ   14738 kg/m³
Electronic total energy   -4.67 eV per atom
Spin magnetization   0.000 μB per atom
Volume   143.6 Å³ per cell

Entry 4:
# Tl2BiI

A geometry-optimized Tl2BiI structure (PBE-GGA, the Alexandria database).

Cell and atoms, written as POSCAR:
```
Tl2BiI
1.0
0.000 4.078 4.078
4.078 0.000 4.078
4.078 4.078 0.000
Tl Bi I
2 1 1
Direct
0.250 0.250 0.250
0.750 0.750 0.750
0.000 0.000 0.000
0.500 0.500 0.500
```

Values from the calculation:
ΔE_f (raw)   -0.0508 eV per atom
Polymorph energy (0 for the lowest one)   0.095 eV/atom
ρ   9115 kg/m³
Electronic total energy   -2.59 eV per atom
Spin magnetization   0.000 μB per atom
Volume   135.7 Å³ per cell

Entry 5:
# Ti2CoOs

A geometry-optimized Ti2CoOs structure (PBE-GGA, the Alexandria database).

Cell and atoms, written as POSCAR:
```
Ti2CoOs
1.0
0.000 3.041 3.041
3.041 0.000 3.041
3.041 3.041 0.000
Ti Co Os
2 1 1
Direct
0.250 0.250 0.250
0.750 0.750 0.750
0.000 0.000 0.000
0.500 0.500 0.500
```

Values from the calculation:
Energy of formation from the pure elements   -0.5376 eV/atom
ρ   10185 kg/m³
Electronic total energy   -9.07 eV per atom
Spin magnetization   0.000 μB per atom
Volume   56.2 Å³ per cell

Entry 6:
# Ce2MgU

A geometry-optimized Ce2MgU structure (PBE-GGA, the Alexandria database).

Cell and atoms, written as POSCAR:
```
Ce2MgU
1.0
3.000 0.000 0.000
0.000 3.000 0.000
0.000 0.000 10.624
Ce Mg U
2 1 1
Direct
0.000 0.000 0.237
0.000 0.000 0.763
0.500 0.500 0.500
0.500 0.500 0.000
```

Values from the calculation:
Polymorph energy (0 for the lowest one)   0.000 eV/atom
Energy of formation from the pure elements   0.1138 eV/atom
ρ   9421 kg/m³
Electronic total energy   -6.07 eV per atom
Spin magnetization   0.343 μB per atom
Volume   95.6 Å³ per cell